[1]
This record from OQMD via LeMat-Bulk describes a geometry-optimized TbTm2Cu4Si2Ge2 structure. The functional is PBE.

Results
**Crystal system**: orthorhombic
**Total energy**: -5.045 eV per atom
**Symmetry**: Immm

Unit cell a=7.884 b=7.884 c=7.884 alpha=149.53 beta=130.57 gamma=59.19
Atoms (fractional coordinates):
Cu 0.527 0.836 0.691
Tb 0.500 0.500 0.000
Cu 0.144 0.836 0.309
Tm 0.129 0.629 0.500
Cu 0.473 0.164 0.309
Si 0.818 0.000 0.818
Ge 0.718 0.718 0.000
Ge 0.282 0.282 0.000
Tm 0.871 0.371 0.500
Si 0.182 0.000 0.182
Cu 0.856 0.164 0.691

[2]
This record from OQMD via LeMat-Bulk describes a geometry-optimized TbTm2Cu4Si2Ge2 structure. The functional is PBE.

Results
**Crystal system**: orthorhombic
**Total energy**: -5.054 eV per atom
**Symmetry**: Immm

Unit cell a=7.888 b=7.888 c=7.888 alpha=149.85 beta=130.46 gamma=59.09
Atoms (fractional coordinates):
Si 0.718 0.718 0.000
Cu 0.134 0.825 0.309
Si 0.282 0.282 0.000
Ge 0.809 0.000 0.809
Cu 0.484 0.175 0.309
Tm 0.129 0.629 0.500
Tb 0.500 0.500 0.000
Cu 0.516 0.825 0.691
Cu 0.866 0.175 0.691
Tm 0.871 0.371 0.500
Ge 0.191 0.000 0.191

[3]
This record from OQMD via LeMat-Bulk describes a geometry-optimized Tb2TmCu4Si2Ge2 structure. The functional is PBE.

Results
**Crystal system**: orthorhombic
**Total energy**: -5.054 eV per atom
**Symmetry**: Immm

Unit cell a=7.928 b=7.928 c=7.928 alpha=149.31 beta=131.04 gamma=58.91
Atoms (fractional coordinates):
Tb 0.370 0.870 0.500
Cu 0.648 0.337 0.310
Cu 0.973 0.663 0.310
Tb 0.630 0.130 0.500
Ge 0.784 0.784 0.000
Si 0.685 0.500 0.185
Cu 0.352 0.663 0.690
Tm 0.000 0.000 0.000
Ge 0.216 0.216 0.000
Si 0.315 0.500 0.815
Cu 0.027 0.337 0.690

[4]
This record from OQMD via LeMat-Bulk describes a geometry-optimized Tb2TmCu4Si2Ge2 structure. The functional is PBE.

Results
**Crystal system**: orthorhombic
**Total energy**: -5.060 eV per atom
**Symmetry**: Immm

Unit cell a=7.932 b=7.932 c=7.932 alpha=149.67 beta=131.05 gamma=58.67
Atoms (fractional coordinates):
Tm 0.500 0.500 0.000
Tb 0.870 0.370 0.500
Tb 0.130 0.630 0.500
Ge 0.805 0.000 0.805
Cu 0.863 0.173 0.690
Cu 0.483 0.173 0.310
Cu 0.517 0.827 0.690
Si 0.715 0.715 0.000
Si 0.285 0.285 0.000
Ge 0.195 0.000 0.195
Cu 0.137 0.827 0.310

Number 1: calculated volume 17.03 Å³/atom. Number 2: calculated volume 16.92 Å³/atom. Number 3: calculated volume 17.31 Å³/atom. Number 4: calculated volume 17.14 Å³/atom.